# 1
A relaxed SmHoAl2Ga2 crystal. Source: the Alexandria database, functional PBE.

Its total energy is -4.38 eV/atom.

It has space group P-3m1 (No. 164), with a = 4.4927 Å, b = 4.4927 Å, c = 7.1697 Å, α = 90.00°, β = 90.00° and γ = 120.00°. The asymmetric unit holds Sm at (0.0000, 0.0000, 0.0000), Ho at (0.0000, 0.0000, 0.5000), Al at (0.3333, 0.6667, 0.7412) and Ga at (0.3333, 0.6667, 0.2613).

---

# 2
A relaxed IrRu2Au crystal. Source: the Alexandria database, functional PBE.

For the energy above the most stable polymorph in this dataset, the calculation gives 15.5 meV/atom.

It has space group P4/mmm (No. 123), with a = 2.7589 Å, b = 2.7589 Å, c = 7.9039 Å, α = 90.00°, β = 90.00° and γ = 90.00°. The asymmetric unit holds Ir at (0.0000, 0.0000, 0.0000), Ru at (0.5000, 0.5000, 0.2343) and Au at (0.0000, 0.0000, 0.5000).

---

# 3
A relaxed Y3AlN crystal. Source: the Alexandria database, functional PBE.

For the energy relative to the elements, uncorrected, the calculation gives -0.76 eV per atom.

It has space group P1 (No. 1), with a = 6.0935 Å, b = 6.1516 Å, c = 6.7748 Å, α = 63.09°, β = 82.92° and γ = 80.40°. The asymmetric unit holds Y at (0.0000, 0.0000, 0.0000), Y at (0.0760, 0.1066, 0.4707), Y at (0.2147, 0.5202, 0.8880), Y at (0.5291, 0.0894, 0.7057), Y at (0.6783, 0.5238, 0.1180), Y at (0.7875, 0.6104, 0.5831), Al at (0.2642, 0.5875, 0.4000), Al at (0.5058, 0.0211, 0.2008), N at (0.1449, 0.3188, 0.6766) and N at (0.8800, 0.8071, 0.7934).

---

# 4
A relaxed K5Y crystal. Source: the Alexandria database, functional PBE.

For the energy above the most stable polymorph in this dataset, the calculation gives 0.0 meV/atom.

It has space group P4/mmm (No. 123), with a = 4.0387 Å, b = 4.0387 Å, c = 21.7550 Å, α = 90.00°, β = 90.00° and γ = 90.00°. The asymmetric unit holds K at (0.0000, 0.0000, 0.0000), K at (0.0000, 0.0000, 0.3571), K at (0.5000, 0.5000, 0.1769) and Y at (0.5000, 0.5000, 0.5000).

---

# 5
A relaxed ZnTcPO2 crystal. Source: the Alexandria database, functional PBE.

For the energy above the most stable polymorph in this dataset, the calculation gives 0.0 meV/atom. For the energy relative to the elements, uncorrected, the calculation gives -0.66 eV per atom.

It has space group P4/mmm (No. 123), with a = 3.7390 Å, b = 3.7390 Å, c = 5.2782 Å, α = 90.00°, β = 90.00° and γ = 90.00°. The asymmetric unit holds Zn at (0.0000, 0.0000, 0.0000), Tc at (0.5000, 0.5000, 0.5000), P at (0.5000, 0.5000, 0.0000) and O at (0.0000, 0.5000, 0.5000).

---

# 6
A relaxed LiAc2TlIn6 crystal. Source: the Alexandria database, functional PBE.

Its total energy is -3.09 eV/atom.

It has space group R-3m (No. 166, hexagonal axes), with a = 7.2690 Å, b = 7.2690 Å, c = 38.1095 Å, α = 90.00°, β = 90.00° and γ = 120.00°. The asymmetric unit holds Li at (0.0000, 0.0000, 0.0000), Li at (0.0000, 0.0000, 0.5000), Ac at (0.0000, 0.0000, 0.1049), Ac at (0.0000, 0.0000, 0.2796), Tl at (0.0000, 0.0000, 0.4265), In at (0.0403, 0.5201, 0.3036) and In at (0.0627, 0.5313, 0.8606).

---

# 7
A relaxed Zr2ZnPt crystal. Source: the Alexandria database, functional PBE.

Its total energy is -6.45 eV/atom.

It has space group R-3m (No. 166, hexagonal axes), with a = 3.5568 Å, b = 3.5568 Å, c = 22.8763 Å, α = 90.00°, β = 90.00° and γ = 120.00°. The asymmetric unit holds Zr at (0.0000, 0.0000, 0.2451), Zn at (0.0000, 0.0000, 0.0000) and Pt at (0.0000, 0.0000, 0.5000).

---

# 8
A relaxed Pm2HgPb5 crystal. Source: the Alexandria database, functional PBE.

Its total energy is -3.93 eV/atom.

It has space group Pbam (No. 55), with a = 6.8713 Å, b = 13.7623 Å, c = 4.8730 Å, α = 90.00°, β = 90.00° and γ = 90.00°. The asymmetric unit holds Pm at (0.2470, 0.1255, 0.0000), Hg at (0.0000, 0.5000, 0.5000), Pb at (0.0000, 0.0000, 0.5000), Pb at (0.0058, 0.7490, 0.5000) and Pb at (0.2431, 0.3775, 0.0000).

---

Computed total magnetic moment (μB/f.u.) in order:
0.00, 0.00, 0.06, 0.78, 0.00, 0.00, 0.00, 0.00